First-principles (GGA-PBE) data for an optimized crystal structure of BeBTeI2, as listed in the Alexandria database.

abc: 5.2603 5.2603 5.0245
angles: 90.00 90.00 90.00
With the nearest neighbours (Å) after each atom.
Space group P4/mmm (No. 123)
Inequivalent atoms, fractional coordinates:
Be 0.0000 0.0000 0.0000 [1 per cell]  2 Te 2.51, 4 I 2.63
B 0.5000 0.5000 0.5000 [1 per cell]  8 I 3.64, 4 Te 3.72
Te 0.0000 0.0000 0.5000 [1 per cell]  2 Be 2.51
I 0.0000 0.5000 0.0000 [2 per cell]  2 Be 2.63

Properties
- Formation energy from raw total energies: 1.0834 eV per atom
- Calculated volume: 139 Å³/f.u.
- ΔE to the lowest computed polymorph: 0.000 eV per atom

=====

First-principles (GGA-PBE) data for an optimized crystal structure of Mo3Pt2Rh3, as listed in the Alexandria database.

abc: 3.8890 4.0114 7.6780
angles: 90.00 90.00 90.00
With the nearest neighbours (Å) after each atom.
Space group Pmmm (No. 47)
Inequivalent atoms, fractional coordinates:
Mo 0.0000 0.0000 0.0000 [1 per cell]  4 Mo 2.72, 4 Pt 2.77, 4 Rh 2.79
Mo 0.5000 0.0000 0.2477 [2 per cell]  2 Mo 2.72, 6 Rh 2.74-2.79, 4 Pt 2.79
Pt 0.0000 0.5000 0.2495 [2 per cell]  6 Rh 2.73-2.78, 6 Mo 2.77-2.79
Rh 0.0000 0.0000 0.5000 [1 per cell]  4 Mo 2.74, 4 Pt 2.78, 4 Rh 2.79
Rh 0.5000 0.5000 0.0000 [1 per cell]  4 Pt 2.73, 8 Mo 2.76-2.79
Rh 0.5000 0.5000 0.5000 [1 per cell]  4 Pt 2.73, 4 Mo 2.79, 4 Rh 2.79

Properties
- Calculated volume: 120 Å³/f.u.
- Calculated formation energy: -0.238 eV/atom

=====

First-principles (GGA-PBE) data for an optimized crystal structure of Tb5Nb2O12, as listed in the Alexandria database.

abc: 12.4822 5.9273 7.4926
angles: 90.00 107.54 90.00
With the nearest neighbours (Å) after each atom.
Space group C2/m (No. 12)
Inequivalent atoms, fractional coordinates:
Tb 0.0000 0.0000 0.0000 [2 per cell]  6 O 2.29-2.36
Tb 0.1908 0.5000 0.3244 [4 per cell]  7 O 2.32-2.49
Tb 0.1981 0.5000 0.8629 [4 per cell]  7 O 2.30-2.43
Nb 0.0000 0.2407 0.5000 [4 per cell]  6 O 1.98-2.12
O 0.0007 0.0000 0.3055 [4 per cell]  2 Nb 2.04, 1 Tb 2.29
O 0.0011 0.5000 0.3050 [4 per cell]  2 Nb 2.12, 1 Tb 2.33
O 0.1545 0.2505 0.0743 [8 per cell]  4 Tb 2.30-2.36
O 0.1657 0.2662 0.5850 [8 per cell]  1 Nb 1.98

Properties
- Formation energy from raw total energies: -3.2592 eV per atom
- Calculated volume: 264 Å³/f.u.